Record 1
The following is a PBE calculation of a relaxed structure of PrY14Tl, from Alexandria.

Properties
The calculation puts the density of states at the Fermi level at 1.5231 states/eV per atom. The calculation puts the raw total energy at -6.11 eV/atom. The formation energy is -1 kJ/mol of atoms.

Structure (CIF):
```
data_PrY14Tl
_symmetry_space_group_name_H-M 'A m m 2'
_symmetry_Int_Tables_number 38
_symmetry_space_group_name_Hall 'A 2 -2'
_cell_length_a 10.923
_cell_length_b 8.479
_cell_length_c 11.081
_cell_angle_alpha 90.00
_cell_angle_beta 90.00
_cell_angle_gamma 90.00
loop_
_atom_site_label
_atom_site_fract_x
_atom_site_fract_y
_atom_site_fract_z
Pr1 0.000 0.000 0.000
Y1 0.000 0.206 0.268
Y2 0.221 0.000 0.765
Y3 0.243 0.207 0.483
Y4 0.276 0.000 0.203
Y5 0.500 0.000 0.425
Y6 0.500 0.000 0.975
Y7 0.500 0.200 0.705
Tl1 0.000 0.000 0.550
```

Record 2
The following is a PBE calculation of a relaxed structure of YFeTcC2, from Alexandria.

Properties
The calculation puts the density of states at the Fermi level at 0.8541 states/eV per atom. The calculation puts the raw total energy at -7.85 eV/atom. The formation energy is 87 kJ/mol of atoms.

Structure (CIF):
```
data_YFeTcC2
_symmetry_space_group_name_H-M 'P 4/m m m'
_symmetry_Int_Tables_number 123
_symmetry_space_group_name_Hall '-P 4 2'
_cell_length_a 4.031
_cell_length_b 4.031
_cell_length_c 4.624
_cell_angle_alpha 90.00
_cell_angle_beta 90.00
_cell_angle_gamma 90.00
loop_
_atom_site_label
_atom_site_fract_x
_atom_site_fract_y
_atom_site_fract_z
Y1 0.000 0.000 0.000
Fe1 0.500 0.500 0.000
Tc1 0.500 0.500 0.500
C1 0.000 0.500 0.500
```

Record 3
The following is a PBE calculation of a relaxed structure of Ac2IrBr, from Alexandria.

Properties
The calculation puts the raw formation energy at -27.1 kcal/mol of atoms. The calculation puts the density of states at the Fermi level at 0.3146 states/eV per atom. The calculation puts the raw total energy at -5.86 eV/atom.

Structure (CIF):
```
data_Ac2IrBr
_symmetry_space_group_name_H-M 'R 3 m'
_symmetry_Int_Tables_number 160
_symmetry_space_group_name_Hall 'R 3 -2"'
_cell_length_a 4.3500
_cell_length_b 4.3500
_cell_length_c 25.1011
_cell_angle_alpha 90.00
_cell_angle_beta 90.00
_cell_angle_gamma 120.00
loop_
_atom_site_label
_atom_site_fract_x
_atom_site_fract_y
_atom_site_fract_z
Ac1 0.0000 0.0000 0.0000
Ac2 0.0000 0.0000 0.2057
Ir1 0.0000 0.0000 0.6027
Br1 0.0000 0.0000 0.7729
```

Record 4
The following is a PBE calculation of a relaxed structure of VFeH2, from Alexandria.

Properties
The calculation puts the density of states at the Fermi level at 0.7232 states/eV per atom. The calculation puts the raw total energy at -6.08 eV/atom.

Structure (CIF):
```
data_VFeH2
_symmetry_space_group_name_H-M 'I -4 2 d'
_symmetry_Int_Tables_number 122
_symmetry_space_group_name_Hall 'I -4 2bw'
_cell_length_a 3.874
_cell_length_b 3.874
_cell_length_c 7.899
_cell_angle_alpha 90.00
_cell_angle_beta 90.00
_cell_angle_gamma 90.00
loop_
_atom_site_label
_atom_site_fract_x
_atom_site_fract_y
_atom_site_fract_z
V1 0.000 0.000 0.000
Fe1 0.000 0.000 0.500
H1 0.220 0.250 0.625
```

Record 5
The following is a PBE calculation of a relaxed structure of Hf4TiMo, from Alexandria.

Properties
The calculation puts the density of states at the Fermi level at 1.1880 states/eV per atom. The calculation puts the raw total energy at -9.15 eV/atom. The formation energy is 59 kJ/mol of atoms.

Structure (CIF):
```
data_Hf4TiMo
_symmetry_space_group_name_H-M 'P 4/m m m'
_symmetry_Int_Tables_number 123
_symmetry_space_group_name_Hall '-P 4 2'
_cell_length_a 4.519
_cell_length_b 4.519
_cell_length_c 6.763
_cell_angle_alpha 90.00
_cell_angle_beta 90.00
_cell_angle_gamma 90.00
loop_
_atom_site_label
_atom_site_fract_x
_atom_site_fract_y
_atom_site_fract_z
Hf1 0.000 0.500 0.237
Ti1 0.000 0.000 0.500
Mo1 0.500 0.500 0.000
```

Record 6
The following is a PBE calculation of a relaxed structure of BeAlHg, from Alexandria.

Properties
The calculation puts the density of states at the Fermi level at 0.3540 states/eV per atom. The calculation puts the raw total energy at -2.17 eV/atom. The formation energy is 41 kJ/mol of atoms.

Structure (CIF):
```
data_BeAlHg
_symmetry_space_group_name_H-M 'P -6 m 2'
_symmetry_Int_Tables_number 187
_symmetry_space_group_name_Hall 'P -6 2'
_cell_length_a 4.2071
_cell_length_b 4.2071
_cell_length_c 3.2557
_cell_angle_alpha 90.00
_cell_angle_beta 90.00
_cell_angle_gamma 120.00
loop_
_atom_site_label
_atom_site_fract_x
_atom_site_fract_y
_atom_site_fract_z
Be1 0.0000 0.0000 0.0000
Al1 0.6667 0.3333 0.5000
Hg1 0.3333 0.6667 0.0000
```

Record 7
The following is a PBE calculation of a relaxed structure of Mg14CrSb, from Alexandria.

Properties
The calculation puts the raw formation energy at 0.7 kcal/mol of atoms. The calculation puts the density of states at the Fermi level at 0.4417 states/eV per atom. The calculation puts the raw total energy at -2.22 eV/atom.

Structure (CIF):
```
data_Mg14CrSb
_symmetry_space_group_name_H-M 'P -6 m 2'
_symmetry_Int_Tables_number 187
_symmetry_space_group_name_Hall 'P -6 2'
_cell_length_a 6.3696
_cell_length_b 6.3696
_cell_length_c 10.1791
_cell_angle_alpha 90.00
_cell_angle_beta 90.00
_cell_angle_gamma 120.00
loop_
_atom_site_label
_atom_site_fract_x
_atom_site_fract_y
_atom_site_fract_z
Mg1 0.0000 0.0000 0.2489
Mg2 0.0030 0.5015 0.2561
Mg3 0.3332 0.1666 0.5000
Mg4 0.3336 0.1668 0.0000
Cr1 0.3333 0.6667 0.5000
Sb1 0.3333 0.6667 0.0000
```

Record 8
The following is a PBE calculation of a relaxed structure of KV2As2, from Alexandria.

Properties
The calculation puts the density of states at the Fermi level at 1.5341 states/eV per atom. The calculation puts the raw total energy at -5.62 eV/atom. The formation energy is 11 kJ/mol of atoms.

Structure (CIF):
```
data_KV2As2
_symmetry_space_group_name_H-M 'I 4/m m m'
_symmetry_Int_Tables_number 139
_symmetry_space_group_name_Hall '-I 4 2'
_cell_length_a 4.801
_cell_length_b 4.801
_cell_length_c 8.552
_cell_angle_alpha 90.00
_cell_angle_beta 90.00
_cell_angle_gamma 90.00
loop_
_atom_site_label
_atom_site_fract_x
_atom_site_fract_y
_atom_site_fract_z
K1 0.000 0.000 0.000
V1 0.000 0.000 0.377
As1 0.000 0.500 0.250
```

Record 9
The following is a PBE calculation of a relaxed structure of Tm2PuN, from Alexandria.

Properties
The calculation puts the raw formation energy at -14.6 kcal/mol of atoms. The calculation puts the density of states at the Fermi level at 2.2699 states/eV per atom. The calculation puts the raw total energy at -8.53 eV/atom.

Structure (CIF):
```
data_Tm2PuN
_symmetry_space_group_name_H-M 'R -3 m'
_symmetry_Int_Tables_number 166
_symmetry_space_group_name_Hall '-R 3 2"'
_cell_length_a 3.3541
_cell_length_b 3.3541
_cell_length_c 28.0386
_cell_angle_alpha 90.00
_cell_angle_beta 90.00
_cell_angle_gamma 120.00
loop_
_atom_site_label
_atom_site_fract_x
_atom_site_fract_y
_atom_site_fract_z
Tm1 0.0000 0.0000 0.1190
Pu1 0.0000 0.0000 0.0000
N1 0.0000 0.0000 0.5000
```

Record 10
The following is a PBE calculation of a relaxed structure of ScRh, from Alexandria.

Properties
The calculation puts the density of states at the Fermi level at 0.4880 states/eV per atom. The calculation puts the raw total energy at -7.86 eV/atom. The formation energy is -98 kJ/mol of atoms.

Structure (CIF):
```
data_ScRh
_symmetry_space_group_name_H-M 'P m -3 m'
_symmetry_Int_Tables_number 221
_symmetry_space_group_name_Hall '-P 4 2 3'
_cell_length_a 3.227
_cell_length_b 3.227
_cell_length_c 3.227
_cell_angle_alpha 90.00
_cell_angle_beta 90.00
_cell_angle_gamma 90.00
loop_
_atom_site_label
_atom_site_fract_x
_atom_site_fract_y
_atom_site_fract_z
Sc1 0.000 0.000 0.000
Rh1 0.500 0.500 0.500
```

Record 11
The following is a PBE calculation of a relaxed structure of PmSm5Y2Sc, from Alexandria.

Properties
The calculation puts the density of states at the Fermi level at 1.6244 states/eV per atom. The calculation puts the raw total energy at -5.13 eV/atom. The formation energy is 16 kJ/mol of atoms.

Structure (CIF):
```
data_PmSm5Y2Sc
_symmetry_space_group_name_H-M 'C m c 21'
_symmetry_Int_Tables_number 36
_symmetry_space_group_name_Hall 'C 2c -2'
_cell_length_a 5.642
_cell_length_b 20.116
_cell_length_c 10.481
_cell_angle_alpha 90.00
_cell_angle_beta 90.00
_cell_angle_gamma 90.00
loop_
_atom_site_label
_atom_site_fract_x
_atom_site_fract_y
_atom_site_fract_z
Pm1 0.000 0.090 0.000
Sm1 0.000 0.016 0.283
Sm2 0.000 0.123 0.561
Sm3 0.000 0.202 0.248
Sm4 0.000 0.223 0.862
Sm5 0.000 0.482 0.558
Y1 0.000 0.385 0.277
Y2 0.000 0.387 0.854
Sc1 0.000 0.304 0.556
```

Record 12
The following is a PBE calculation of a relaxed structure of SiH2Br, from Alexandria.

Properties
The calculation puts the density of states at the Fermi level at 0.0636 states/eV per atom. The calculation puts the raw total energy at -3.44 eV/atom.

Structure (CIF):
```
data_SiH2Br
_symmetry_space_group_name_H-M 'C 1 m 1'
_symmetry_Int_Tables_number 8
_symmetry_space_group_name_Hall 'C -2y'
_cell_length_a 8.195
_cell_length_b 4.507
_cell_length_c 4.567
_cell_angle_alpha 90.00
_cell_angle_beta 90.35
_cell_angle_gamma 90.00
loop_
_atom_site_label
_atom_site_fract_x
_atom_site_fract_y
_atom_site_fract_z
Si1 0.000 0.000 0.000
H1 0.147 0.000 0.198
H2 0.354 0.500 0.197
Br1 0.499 0.000 0.789
```

Which M_tot belongs to each record? In order, 0.00 0.46 0.00 0.00 0.00 0.00 0.24 0.06 1.49 0.00 0.00 0.00 μB/atom.